Entry 1:
# CuAu6 (PBE, relaxed)
data_CuAu6
_chemical_formula_sum 'Cu1 Au6'
_symmetry_space_group_name_H-M 'P 4/m m m'
_symmetry_Int_Tables_number 123
_symmetry_space_group_name_Hall '-P 4 2'
_cell_length_a 4.038
_cell_length_b 4.038
_cell_length_c 8.065
_cell_angle_alpha 90.00
_cell_angle_beta 90.00
_cell_angle_gamma 90.00
loop_
_atom_site_label
_atom_site_type_symbol
_atom_site_fract_x
_atom_site_fract_y
_atom_site_fract_z
Cu1 Cu 0.000 0.000 0.000
Au1 Au 0.000 0.000 0.500
Au2 Au 0.000 0.500 0.253
Au3 Au 0.500 0.500 0.000
# Total moment in μB/f.u.: 0.000
# DOS(E_F) in states/eV/atom: 0.20
# Polymorph energy (0 for the lowest one) in eV per atom: 0.021
# Final energy in eV per atom: -3.3467
# Energy of formation in eV per atom: 0.05

Entry 2:
# CuAu3 (PBE, relaxed)
data_CuAu3
_chemical_formula_sum 'Cu3 Au9'
_symmetry_space_group_name_H-M 'R -3 m'
_symmetry_Int_Tables_number 166
_symmetry_space_group_name_Hall '-R 3 2"'
_cell_length_a 8.9993
_cell_length_b 8.9993
_cell_length_c 2.9082
_cell_angle_alpha 90.00
_cell_angle_beta 90.00
_cell_angle_gamma 120.00
loop_
_atom_site_label
_atom_site_type_symbol
_atom_site_fract_x
_atom_site_fract_y
_atom_site_fract_z
Cu1 Cu 0.0000 0.0000 0.0000
Au1 Au 0.0000 0.5000 0.0000
# Total moment in μB/f.u.: 0.000
# DOS(E_F) in states/eV/atom: 0.31
# Final energy in eV per atom: -3.4035
# Energy of formation in eV per atom: 0.08

Entry 3:
# Cu3Au (PBE, relaxed)
data_Cu3Au
_chemical_formula_sum 'Cu3 Au1'
_symmetry_space_group_name_H-M 'P m -3 m'
_symmetry_Int_Tables_number 221
_symmetry_space_group_name_Hall '-P 4 2 3'
_cell_length_a 4.867
_cell_length_b 4.867
_cell_length_c 4.867
_cell_angle_alpha 90.00
_cell_angle_beta 90.00
_cell_angle_gamma 90.00
loop_
_atom_site_label
_atom_site_type_symbol
_atom_site_fract_x
_atom_site_fract_y
_atom_site_fract_z
Cu1 Cu 0.000 0.000 0.500
Au1 Au 0.000 0.000 0.000
# Total moment in μB/f.u.: 0.000
# DOS(E_F) in states/eV/atom: 0.72
# Final energy in eV per atom: -2.8026
# Energy of formation in eV per atom: 1.09

Entry 4:
# Cu6Au5 (PBE, relaxed)
data_Cu6Au5
_chemical_formula_sum 'Cu12 Au10'
_symmetry_space_group_name_H-M 'C m m m'
_symmetry_Int_Tables_number 65
_symmetry_space_group_name_Hall '-C 2 2'
_cell_length_a 4.390
_cell_length_b 13.102
_cell_length_c 6.009
_cell_angle_alpha 90.00
_cell_angle_beta 90.00
_cell_angle_gamma 90.00
loop_
_atom_site_label
_atom_site_type_symbol
_atom_site_fract_x
_atom_site_fract_y
_atom_site_fract_z
Cu1 Cu 0.000 0.000 0.228
Cu2 Cu 0.000 0.342 0.239
Au1 Au 0.000 0.165 0.500
Au2 Au 0.000 0.170 0.000
Au3 Au 0.000 0.500 0.500
# Total moment in μB/f.u.: 0.000
# DOS(E_F) in states/eV/atom: 0.27
# Final energy in eV per atom: -3.6795
# Energy of formation in eV per atom: 0.04

Entry 5:
# CuAu2 (PBE, relaxed)
data_CuAu2
_chemical_formula_sum 'Cu2 Au4'
_symmetry_space_group_name_H-M 'I m m m'
_symmetry_Int_Tables_number 71
_symmetry_space_group_name_Hall '-I 2 2'
_cell_length_a 2.956
_cell_length_b 3.593
_cell_length_c 9.150
_cell_angle_alpha 90.00
_cell_angle_beta 90.00
_cell_angle_gamma 90.00
loop_
_atom_site_label
_atom_site_type_symbol
_atom_site_fract_x
_atom_site_fract_y
_atom_site_fract_z
Cu1 Cu 0.000 0.000 0.000
Au1 Au 0.000 0.000 0.344
# Total moment in μB/f.u.: 0.000
# DOS(E_F) in states/eV/atom: 0.25
# Polymorph energy (0 for the lowest one) in eV per atom: 0.023
# Final energy in eV per atom: -3.5703
# Energy of formation in eV per atom: -0.02

Entry 6:
# Cu4Au (PBE, relaxed)
data_Cu4Au
_chemical_formula_sum 'Cu8 Au2'
_symmetry_space_group_name_H-M 'I 4/m m m'
_symmetry_Int_Tables_number 139
_symmetry_space_group_name_Hall '-I 4 2'
_cell_length_a 2.754
_cell_length_b 2.754
_cell_length_c 17.488
_cell_angle_alpha 90.00
_cell_angle_beta 90.00
_cell_angle_gamma 90.00
loop_
_atom_site_label
_atom_site_type_symbol
_atom_site_fract_x
_atom_site_fract_y
_atom_site_fract_z
Cu1 Cu 0.000 0.000 0.112
Cu2 Cu 0.000 0.000 0.296
Au1 Au 0.000 0.000 0.500
# Total moment in μB/f.u.: 0.000
# DOS(E_F) in states/eV/atom: 0.26
# Polymorph energy (0 for the lowest one) in eV per atom: 0.034
# Final energy in eV per atom: -3.9254
# Energy of formation in eV per atom: 0.01

Entry 7:
# CuAu2 (PBE, relaxed)
data_CuAu2
_chemical_formula_sum 'Cu4 Au8'
_symmetry_space_group_name_H-M 'P n m a'
_symmetry_Int_Tables_number 62
_symmetry_space_group_name_Hall '-P 2ac 2n'
_cell_length_a 5.753
_cell_length_b 4.026
_cell_length_c 8.408
_cell_angle_alpha 90.00
_cell_angle_beta 90.00
_cell_angle_gamma 90.00
loop_
_atom_site_label
_atom_site_type_symbol
_atom_site_fract_x
_atom_site_fract_y
_atom_site_fract_z
Cu1 Cu 0.139 0.250 0.087
Au1 Au 0.095 0.250 0.766
Au2 Au 0.144 0.250 0.423
# Total moment in μB/f.u.: 0.000
# DOS(E_F) in states/eV/atom: 0.29
# Polymorph energy (0 for the lowest one) in eV per atom: 0.022
# Final energy in eV per atom: -3.5717
# Energy of formation in eV per atom: -0.02

Entry 8:
# Cu3Au (PBE, relaxed)
data_Cu3Au
_chemical_formula_sum 'Cu6 Au2'
_symmetry_space_group_name_H-M 'P 63/m m c'
_symmetry_Int_Tables_number 194
_symmetry_space_group_name_Hall '-P 6c 2c'
_cell_length_a 5.3862
_cell_length_b 5.3862
_cell_length_c 4.3257
_cell_angle_alpha 90.00
_cell_angle_beta 90.00
_cell_angle_gamma 120.00
loop_
_atom_site_label
_atom_site_type_symbol
_atom_site_fract_x
_atom_site_fract_y
_atom_site_fract_z
Cu1 Cu 0.1604 0.3208 0.2500
Au1 Au 0.3333 0.6667 0.7500
# Total moment in μB/f.u.: 0.000
# DOS(E_F) in states/eV/atom: 0.51
# Final energy in eV per atom: -3.9072
# Energy of formation in eV per atom: -0.02

Entry 9:
# CuAu4 (PBE, relaxed)
data_CuAu4
_chemical_formula_sum 'Cu2 Au8'
_symmetry_space_group_name_H-M 'I m m m'
_symmetry_Int_Tables_number 71
_symmetry_space_group_name_Hall '-I 2 2'
_cell_length_a 2.894
_cell_length_b 3.790
_cell_length_c 15.561
_cell_angle_alpha 90.00
_cell_angle_beta 90.00
_cell_angle_gamma 90.00
loop_
_atom_site_label
_atom_site_type_symbol
_atom_site_fract_x
_atom_site_fract_y
_atom_site_fract_z
Cu1 Cu 0.000 0.000 0.000
Au1 Au 0.000 0.000 0.197
Au2 Au 0.000 0.000 0.409
# Total moment in μB/f.u.: 0.000
# DOS(E_F) in states/eV/atom: 0.24
# Polymorph energy (0 for the lowest one) in eV per atom: 0.015
# Final energy in eV per atom: -3.4504
# Energy of formation in eV per atom: -0.01

Entry 10:
# Cu4Au5 (PBE, relaxed)
data_Cu4Au5
_chemical_formula_sum 'Cu8 Au10'
_symmetry_space_group_name_H-M 'C 1 2/m 1'
_symmetry_Int_Tables_number 12
_symmetry_space_group_name_Hall '-C 2y'
_cell_length_a 9.508
_cell_length_b 8.742
_cell_length_c 3.630
_cell_angle_alpha 90.00
_cell_angle_beta 112.26
_cell_angle_gamma 90.00
loop_
_atom_site_label
_atom_site_type_symbol
_atom_site_fract_x
_atom_site_fract_y
_atom_site_fract_z
Cu1 Cu 0.171 0.172 0.171
Au1 Au 0.000 0.000 0.500
Au2 Au 0.000 0.322 0.500
Au3 Au 0.180 0.500 0.180
# Total moment in μB/f.u.: 0.000
# DOS(E_F) in states/eV/atom: 0.10
# Polymorph energy (0 for the lowest one) in eV per atom: 0.000
# Final energy in eV per atom: -3.6735
# Energy of formation in eV per atom: -0.03

Entry 11:
# CuAu2 (PBE, relaxed)
data_CuAu2
_chemical_formula_sum 'Cu4 Au8'
_symmetry_space_group_name_H-M 'C 1 2/c 1'
_symmetry_Int_Tables_number 15
_symmetry_space_group_name_Hall '-C 2yc'
_cell_length_a 5.009
_cell_length_b 9.529
_cell_length_c 4.783
_cell_angle_alpha 90.00
_cell_angle_beta 120.26
_cell_angle_gamma 90.00
loop_
_atom_site_label
_atom_site_type_symbol
_atom_site_fract_x
_atom_site_fract_y
_atom_site_fract_z
Cu1 Cu 0.000 0.126 0.250
Au1 Au 0.175 0.376 0.094
# Total moment in μB/f.u.: 0.000
# DOS(E_F) in states/eV/atom: 0.29
# Polymorph energy (0 for the lowest one) in eV per atom: 0.062
# Final energy in eV per atom: -3.5319
# Energy of formation in eV per atom: 0.02

Entry 12:
# Cu3Au (PBE, relaxed)
data_Cu3Au
_chemical_formula_sum 'Cu3 Au1'
_symmetry_space_group_name_H-M 'P m m m'
_symmetry_Int_Tables_number 47
_symmetry_space_group_name_Hall '-P 2 2'
_cell_length_a 2.731
_cell_length_b 3.621
_cell_length_c 5.495
_cell_angle_alpha 90.00
_cell_angle_beta 90.00
_cell_angle_gamma 90.00
loop_
_atom_site_label
_atom_site_type_symbol
_atom_site_fract_x
_atom_site_fract_y
_atom_site_fract_z
Cu1 Cu 0.000 0.000 0.000
Cu2 Cu 0.500 0.500 0.228
Au1 Au 0.000 0.000 0.500
# Total moment in μB/f.u.: 0.000
# DOS(E_F) in states/eV/atom: 0.29
# Final energy in eV per atom: -3.9084
# Energy of formation in eV per atom: -0.02

Entry 13:
# CuAu4 (PBE, relaxed)
data_CuAu4
_chemical_formula_sum 'Cu2 Au8'
_symmetry_space_group_name_H-M 'I m -3 m'
_symmetry_Int_Tables_number 229
_symmetry_space_group_name_Hall '-I 4 2 3'
_cell_length_a 5.851
_cell_length_b 5.851
_cell_length_c 5.851
_cell_angle_alpha 90.00
_cell_angle_beta 90.00
_cell_angle_gamma 90.00
loop_
_atom_site_label
_atom_site_type_symbol
_atom_site_fract_x
_atom_site_fract_y
_atom_site_fract_z
Cu1 Cu 0.000 0.000 0.000
Au1 Au 0.250 0.250 0.250
# Total moment in μB/f.u.: 0.000
# DOS(E_F) in states/eV/atom: 0.33
# Polymorph energy (0 for the lowest one) in eV per atom: 0.220
# Final energy in eV per atom: -3.2454
# Energy of formation in eV per atom: 0.20

Entry 14:
# CuAu5 (PBE, relaxed)
data_CuAu5
_chemical_formula_sum 'Cu2 Au10'
_symmetry_space_group_name_H-M 'A m m 2'
_symmetry_Int_Tables_number 38
_symmetry_space_group_name_Hall 'A 2 -2'
_cell_length_a 4.780
_cell_length_b 2.900
_cell_length_c 14.976
_cell_angle_alpha 90.00
_cell_angle_beta 90.00
_cell_angle_gamma 90.00
loop_
_atom_site_label
_atom_site_type_symbol
_atom_site_fract_x
_atom_site_fract_y
_atom_site_fract_z
Cu1 Cu 0.000 0.000 0.000
Au1 Au 0.000 0.000 0.341
Au2 Au 0.000 0.000 0.659
Au3 Au 0.500 0.000 0.109
Au4 Au 0.500 0.000 0.447
Au5 Au 0.500 0.000 0.778
# Total moment in μB/f.u.: 0.000
# DOS(E_F) in states/eV/atom: 0.24
# Polymorph energy (0 for the lowest one) in eV per atom: 0.020
# Final energy in eV per atom: -3.4069
# Energy of formation in eV per atom: 0.01

Entry 15:
# CuAu5 (PBE, relaxed)
data_CuAu5
_chemical_formula_sum 'Cu2 Au10'
_symmetry_space_group_name_H-M 'C 1 m 1'
_symmetry_Int_Tables_number 8
_symmetry_space_group_name_Hall 'C -2y'
_cell_length_a 10.929
_cell_length_b 2.903
_cell_length_c 6.858
_cell_angle_alpha 90.00
_cell_angle_beta 107.39
_cell_angle_gamma 90.00
loop_
_atom_site_label
_atom_site_type_symbol
_atom_site_fract_x
_atom_site_fract_y
_atom_site_fract_z
Cu1 Cu 0.000 0.000 0.000
Au1 Au 0.120 0.500 0.769
Au2 Au 0.164 0.500 0.311
Au3 Au 0.306 0.000 0.079
Au4 Au 0.336 0.000 0.675
Au5 Au 0.465 0.500 0.419
# Total moment in μB/f.u.: 0.000
# DOS(E_F) in states/eV/atom: 0.24
# Polymorph energy (0 for the lowest one) in eV per atom: 0.015
# Final energy in eV per atom: -3.4118
# Energy of formation in eV per atom: 0.00

Entry 16:
# Cu2Au13 (PBE, relaxed)
data_Cu2Au13
_chemical_formula_sum 'Cu2 Au13'
_symmetry_space_group_name_H-M 'P -1'
_symmetry_Int_Tables_number 2
_symmetry_space_group_name_Hall '-P 1'
_cell_length_a 5.135
_cell_length_b 7.077
_cell_length_c 7.619
_cell_angle_alpha 72.18
_cell_angle_beta 83.29
_cell_angle_gamma 89.04
loop_
_atom_site_label
_atom_site_type_symbol
_atom_site_fract_x
_atom_site_fract_y
_atom_site_fract_z
Cu1 Cu 0.131 0.267 0.201
Au1 Au 0.000 0.000 0.000
Au2 Au 0.068 0.131 0.597
Au3 Au 0.192 0.400 0.808
Au4 Au 0.265 0.529 0.397
Au5 Au 0.332 0.663 0.999
Au6 Au 0.398 0.796 0.605
Au7 Au 0.456 0.940 0.201
# Total moment in μB/f.u.: 0.000
# DOS(E_F) in states/eV/atom: 0.18
# Final energy in eV per atom: -3.3864
# Energy of formation in eV per atom: 0.00

Entry 17:
# Cu5Au3 (PBE, relaxed)
data_Cu5Au3
_chemical_formula_sum 'Cu10 Au6'
_symmetry_space_group_name_H-M 'C m m m'
_symmetry_Int_Tables_number 65
_symmetry_space_group_name_Hall '-C 2 2'
_cell_length_a 7.608
_cell_length_b 7.836
_cell_length_c 3.864
_cell_angle_alpha 90.00
_cell_angle_beta 90.00
_cell_angle_gamma 90.00
loop_
_atom_site_label
_atom_site_type_symbol
_atom_site_fract_x
_atom_site_fract_y
_atom_site_fract_z
Cu1 Cu 0.000 0.000 0.000
Cu2 Cu 0.250 0.000 0.500
Cu3 Cu 0.250 0.250 0.000
Au1 Au 0.000 0.235 0.500
Au2 Au 0.000 0.500 0.000
# Total moment in μB/f.u.: 0.000
# DOS(E_F) in states/eV/atom: 0.28
# Polymorph energy (0 for the lowest one) in eV per atom: 0.000
# Final energy in eV per atom: -3.8143
# Energy of formation in eV per atom: -0.03

Entry 18:
# CuAu4 (PBE, relaxed)
data_CuAu4
_chemical_formula_sum 'Cu4 Au16'
_symmetry_space_group_name_H-M 'C 1 2/c 1'
_symmetry_Int_Tables_number 15
_symmetry_space_group_name_Hall '-C 2yc'
_cell_length_a 7.586
_cell_length_b 11.043
_cell_length_c 4.972
_cell_angle_alpha 90.00
_cell_angle_beta 119.52
_cell_angle_gamma 90.00
loop_
_atom_site_label
_atom_site_type_symbol
_atom_site_fract_x
_atom_site_fract_y
_atom_site_fract_z
Cu1 Cu 0.000 0.103 0.250
Au1 Au 0.150 0.297 0.655
Au2 Au 0.211 0.442 0.175
# Total moment in μB/f.u.: 0.000
# DOS(E_F) in states/eV/atom: 0.38
# Polymorph energy (0 for the lowest one) in eV per atom: 0.104
# Final energy in eV per atom: -3.3608
# Energy of formation in eV per atom: 0.08

Entry 19:
# CuAu4 (PBE, relaxed)
data_CuAu4
_chemical_formula_sum 'Cu2 Au8'
_symmetry_space_group_name_H-M 'C 1 2/m 1'
_symmetry_Int_Tables_number 12
_symmetry_space_group_name_Hall '-C 2y'
_cell_length_a 9.934
_cell_length_b 2.905
_cell_length_c 7.185
_cell_angle_alpha 90.00
_cell_angle_beta 124.85
_cell_angle_gamma 90.00
loop_
_atom_site_label
_atom_site_type_symbol
_atom_site_fract_x
_atom_site_fract_y
_atom_site_fract_z
Cu1 Cu 0.000 0.000 0.000
Au1 Au 0.088 0.500 0.377
Au2 Au 0.217 0.000 0.805
# Total moment in μB/f.u.: 0.000
# DOS(E_F) in states/eV/atom: 0.28
# Polymorph energy (0 for the lowest one) in eV per atom: 0.015
# Final energy in eV per atom: -3.4501
# Energy of formation in eV per atom: -0.01

Entry 20:
# CuAu3 (PBE, relaxed)
data_CuAu3
_chemical_formula_sum 'Cu2 Au6'
_symmetry_space_group_name_H-M 'C m m m'
_symmetry_Int_Tables_number 65
_symmetry_space_group_name_Hall '-C 2 2'
_cell_length_a 5.859
_cell_length_b 7.911
_cell_length_c 2.910
_cell_angle_alpha 90.00
_cell_angle_beta 90.00
_cell_angle_gamma 90.00
loop_
_atom_site_label
_atom_site_type_symbol
_atom_site_fract_x
_atom_site_fract_y
_atom_site_fract_z
Cu1 Cu 0.000 0.000 0.000
Au1 Au 0.000 0.500 0.000
Au2 Au 0.250 0.250 0.500
# Total moment in μB/f.u.: 0.000
# DOS(E_F) in states/eV/atom: 0.33
# Final energy in eV per atom: -3.4689
# Energy of formation in eV per atom: 0.01